Record 1
Entry from Alexandria: crystalline SnICl at its relaxed geometry (PBE).

Cell and atoms, written as POSCAR:
```
SnICl
1.0
-3.0273 -3.6432 -2.2976
-3.2856 -2.9084 2.9091
-5.1990 0.7452 -0.3630
Sn I Cl
1 1 1
Cartesian
-2.8780 -1.4516 0.0621
0.0000 0.0000 0.0000
-5.7559 -2.9032 0.1243
```

Properties
The value obtained for the uncorrected energy is -3.086 eV per atom. The symmetry is F-43m. Its formation energy from raw total energies is -619 meV/atom. As for the crystal system: cubic.

---

Record 2
Entry from Alexandria: crystalline SnI2Cl8 at its relaxed geometry (PBE).

Cell and atoms, written as POSCAR:
```
SnI2Cl8
1.0
6.2217 0.0000 2.7338
-1.2206 7.2989 2.7779
-0.2547 0.2406 9.0263
Cl I Sn
8 2 1
Cartesian
3.9952 0.1932 3.6324
3.9024 7.3463 12.2902
1.8090 3.9550 4.3298
0.8440 0.1932 2.2478
2.9375 3.5845 10.2082
0.7513 7.3463 10.9056
-0.1579 2.8928 8.8062
4.9044 4.6467 5.7319
3.8744 4.1124 8.0760
0.8721 3.4271 6.4620
0.0000 0.0000 0.0000
```

Properties
The value obtained for the uncorrected energy is -2.408 eV per atom. The symmetry is C2/m. Its formation energy from raw total energies is -420 meV/atom. As for the crystal system: monoclinic.